A plane-wave DFT calculation with PBE was carried out for an optimized crystal structure of Pm2HoPt2.

Output
Formation energy: -0.9118 eV per atom
Total magnetization: 0.00 μB per formula unit

extended XYZ file:
```
10
Lattice="6.2315 0.0000 0.0000 0.0000 8.0968 0.0000 -3.1158 -4.0484 5.4044" Properties=species:S:1:pos:R:3 pbc="T T T"
Pt 0.0000 2.1770 4.2958
Pm 0.0000 5.1535 3.7368
Pt 0.0000 6.2253 1.1086
Ho 4.6736 4.0484 0.0000
Pm 3.1158 -1.1051 1.6676
Pm 0.0000 1.1051 1.6676
Pm 3.1158 2.9433 3.7368
Ho 1.5579 4.0484 0.0000
Pt 3.1158 -2.1770 4.2958
Pt 3.1158 1.8714 1.1086
```